A plane-wave DFT calculation with PBE+U was carried out for a relaxed Mo2P2O11 crystal.

Magnetic moment   0.0 μB per cell
Space group   Pnma (62)
Energy above the lowest structure with this stoichiometry   13 meV/atom

The structure in POSCAR format:
```
Mo2P2O11
1.0
-5.080 2.987 2.530
-5.583 -9.323 -0.203
4.256 -2.807 11.861
O Mo P
44 8 8
Direct
0.250 0.081 0.960
0.250 0.155 0.168
0.750 0.136 0.416
0.250 0.402 0.094
0.557 0.267 0.540
0.750 0.902 0.406
0.750 0.919 0.040
0.750 0.818 0.607
0.443 0.964 0.726
0.250 0.318 0.893
0.250 0.906 0.174
0.250 0.636 0.084
0.943 0.036 0.274
0.057 0.536 0.226
0.750 0.682 0.107
0.750 0.598 0.906
0.750 0.406 0.326
0.250 0.419 0.460
0.250 0.594 0.674
0.557 0.233 0.040
0.057 0.767 0.960
0.443 0.733 0.460
0.250 0.345 0.668
0.750 0.423 0.107
0.750 0.845 0.832
0.750 0.077 0.607
0.250 0.098 0.594
0.557 0.464 0.774
0.943 0.233 0.040
0.750 0.364 0.916
0.750 0.094 0.826
0.250 0.923 0.393
0.250 0.864 0.584
0.750 0.581 0.540
0.443 0.767 0.960
0.943 0.464 0.774
0.750 0.655 0.332
0.250 0.577 0.893
0.057 0.964 0.726
0.443 0.536 0.226
0.943 0.267 0.540
0.250 0.182 0.393
0.557 0.036 0.274
0.057 0.733 0.460
0.750 0.529 0.245
0.250 0.228 0.007
0.750 0.971 0.745
0.250 0.471 0.755
0.750 0.728 0.493
0.250 0.029 0.255
0.750 0.772 0.993
0.250 0.272 0.507
0.250 0.815 0.468
0.250 0.517 0.157
0.250 0.983 0.657
0.750 0.315 0.032
0.750 0.185 0.532
0.250 0.685 0.968
0.750 0.483 0.843
0.750 0.017 0.343
```